(w)
YSnF | PBE | relaxed

Size of the total moment (μB/f.u.): 0.0

a b c (Å): 5.981 4.214 5.988
angles (deg): 90.00 114.06 90.00
Space group P2_1/m (No. 11)
Symmetry-distinct sites (fractional):
Y 0.162 0.250 0.338 (multiplicity 2)
Sn 0.403 0.750 0.098 (multiplicity 2)
F 0.070 0.750 0.431 (multiplicity 2)

=====

(x)
YSnF | PBE | relaxed

Size of the total moment (μB/f.u.): 0.0

a b c (Å): 3.8690 3.8690 5.2417
angles (deg): 90.00 90.00 120.00
Space group P-6m2 (No. 187)
Symmetry-distinct sites (fractional):
Y 0.0000 0.0000 0.0000 (multiplicity 1)
Sn 0.3333 0.6667 0.5000 (multiplicity 1)
F 0.6667 0.3333 0.0000 (multiplicity 1)

=====

The computed energies, referenced to the most stable structure and given in eV/atom, are (w) 0.000; (x) 0.047.

=====

(w)
Y2SnF | PBE | relaxed

Size of the total moment (μB/f.u.): 0.0

a b c (Å): 3.4610 3.4610 28.8386
angles (deg): 90.00 90.00 120.00
Space group R-3m (No. 166, hexagonal axes)
Symmetry-distinct sites (fractional):
Y 0.0000 0.0000 0.1060 (multiplicity 6)
Sn 0.0000 0.0000 0.0000 (multiplicity 3)
F 0.0000 0.0000 0.5000 (multiplicity 3)

=====

(x)
Y2SnF | PBE | relaxed

Size of the total moment (μB/f.u.): 1.0

a b c (Å): 7.273 7.273 7.234
angles (deg): 90.00 90.00 90.00
Space group I-42d (No. 122)
Symmetry-distinct sites (fractional):
Y 0.170 0.250 0.125 (multiplicity 8)
Sn 0.000 0.000 0.500 (multiplicity 4)
F 0.000 0.000 0.000 (multiplicity 4)

=====

(y)
Y2SnF | PBE | relaxed

Size of the total moment (μB/f.u.): 0.6

a b c (Å): 7.251 7.251 7.251
angles (deg): 90.00 90.00 90.00
Space group Fm-3m (No. 225)
Symmetry-distinct sites (fractional):
Y 0.250 0.250 0.250 (multiplicity 8)
Sn 0.000 0.000 0.000 (multiplicity 4)
F 0.000 0.000 0.500 (multiplicity 4)

=====

The computed energies, referenced to the most stable structure and given in eV/atom, are (w) 0.518; (x) 0.000; (y) 0.281.

=====

(w)
ZnSn2F6 | PBE | relaxed

Size of the total moment (μB/f.u.): 0.0

a b c (Å): 5.722 7.272 9.812
angles (deg): 90.00 125.19 90.00
Space group P2_1/c (No. 14)
Symmetry-distinct sites (fractional):
Zn 0.000 0.000 0.000 (multiplicity 2)
Sn 0.278 0.109 0.763 (multiplicity 4)
F 0.154 0.105 0.231 (multiplicity 4)
F 0.294 0.711 0.607 (multiplicity 4)
F 0.315 0.139 0.995 (multiplicity 4)

=====

(x)
ZnSn2F6 | PBE | relaxed

Size of the total moment (μB/f.u.): 0.0

a b c (Å): 3.479 5.506 7.996
angles (deg): 97.45 90.43 107.77
Space group P-1 (No. 2)
Symmetry-distinct sites (fractional):
Zn 0.000 0.000 0.000 (multiplicity 1)
Sn 0.254 0.483 0.713 (multiplicity 2)
F 0.106 0.209 0.234 (multiplicity 2)
F 0.340 0.683 0.482 (multiplicity 2)
F 0.393 0.777 0.050 (multiplicity 2)

=====

The computed energies, referenced to the most stable structure and given in eV/atom, are (w) 0.000; (x) 0.071.

=====

(w)
ZnSn2F2 | PBE | relaxed

Size of the total moment (μB/f.u.): 0.0

a b c (Å): 3.661 3.661 13.655
angles (deg): 90.00 90.00 90.00
Space group I4/mmm (No. 139)
Symmetry-distinct sites (fractional):
Zn 0.000 0.000 0.000 (multiplicity 2)
Sn 0.000 0.000 0.372 (multiplicity 4)
F 0.000 0.500 0.250 (multiplicity 4)

=====

(x)
ZnSn2F2 | PBE | relaxed

Size of the total moment (μB/f.u.): 0.0

a b c (Å): 7.972 7.972 3.192
angles (deg): 90.00 90.00 90.00
Space group P4/mbm (No. 127)
Symmetry-distinct sites (fractional):
Zn 0.000 0.000 0.000 (multiplicity 2)
Sn 0.232 0.268 0.000 (multiplicity 4)
F 0.124 0.624 0.500 (multiplicity 4)

=====

The computed energies, referenced to the most stable structure and given in eV/atom, are (w) 0.000; (x) 0.009.

=====

(w)
ZnSnF2 | PBE | relaxed

Size of the total moment (μB/f.u.): 0.0

a b c (Å): 6.367 6.367 6.367
angles (deg): 90.00 90.00 90.00
Space group Fm-3m (No. 225)
Symmetry-distinct sites (fractional):
Zn 0.000 0.000 0.000 (multiplicity 4)
Sn 0.000 0.000 0.500 (multiplicity 4)
F 0.250 0.250 0.250 (multiplicity 8)

=====

(x)
ZnSnF2 | PBE | relaxed

Size of the total moment (μB/f.u.): 0.0

a b c (Å): 3.0118 3.0118 23.6174
angles (deg): 90.00 90.00 120.00
Space group R-3m (No. 166, hexagonal axes)
Symmetry-distinct sites (fractional):
Zn 0.0000 0.0000 0.0000 (multiplicity 3)
Sn 0.0000 0.0000 0.5000 (multiplicity 3)
F 0.0000 0.0000 0.0868 (multiplicity 6)

=====

(y)
ZnSnF2 | PBE | relaxed

Size of the total moment (μB/f.u.): 0.0

a b c (Å): 3.1690 3.1690 22.4643
angles (deg): 90.00 90.00 120.00
Space group R-3m (No. 166, hexagonal axes)
Symmetry-distinct sites (fractional):
Zn 0.0000 0.0000 0.0000 (multiplicity 3)
Sn 0.0000 0.0000 0.5000 (multiplicity 3)
F 0.0000 0.0000 0.3782 (multiplicity 6)

=====

The computed energies, referenced to the most stable structure and given in eV/atom, are (w) 0.295; (x) 0.223; (y) 0.000.

=====

(w)
ZrSn2F | PBE | relaxed

Size of the total moment (μB/f.u.): 0.0

a b c (Å): 7.033 7.033 7.033
angles (deg): 90.00 90.00 90.00
Space group Fm-3m (No. 225)
Symmetry-distinct sites (fractional):
Zr 0.000 0.000 0.000 (multiplicity 4)
Sn 0.250 0.250 0.250 (multiplicity 8)
F 0.000 0.000 0.500 (multiplicity 4)

=====

(x)
ZrSn2F | PBE | relaxed

Size of the total moment (μB/f.u.): 0.0

a b c (Å): 5.140 5.140 15.730
angles (deg): 90.00 90.00 90.00
Space group I-42d (No. 122)
Symmetry-distinct sites (fractional):
Zr 0.000 0.000 0.000 (multiplicity 4)
Sn 0.164 0.250 0.625 (multiplicity 8)
F 0.000 0.000 0.500 (multiplicity 4)

=====

The computed energies, referenced to the most stable structure and given in eV/atom, are (w) 0.000; (x) 0.203.

=====

(w)
Zr2SnF | PBE | relaxed

Size of the total moment (μB/f.u.): 0.0

a b c (Å): 6.829 6.829 6.829
angles (deg): 90.00 90.00 90.00
Space group Fm-3m (No. 225)
Symmetry-distinct sites (fractional):
Zr 0.250 0.250 0.250 (multiplicity 8)
Sn 0.000 0.000 0.000 (multiplicity 4)
F 0.000 0.000 0.500 (multiplicity 4)

=====

(x)
Zr2SnF | PBE | relaxed

Size of the total moment (μB/f.u.): 0.0

a b c (Å): 5.129 5.129 14.357
angles (deg): 90.00 90.00 90.00
Space group I-42d (No. 122)
Symmetry-distinct sites (fractional):
Zr 0.101 0.250 0.125 (multiplicity 8)
Sn 0.000 0.000 0.500 (multiplicity 4)
F 0.000 0.000 0.000 (multiplicity 4)

=====

The computed energies, referenced to the most stable structure and given in eV/atom, are (w) 0.000; (x) 0.217.

=====

(w)
ZrSnF2 | PBE | relaxed

Size of the total moment (μB/f.u.): 0.0

a b c (Å): 4.270 4.270 14.822
angles (deg): 90.00 90.00 90.00
Space group I-42d (No. 122)
Symmetry-distinct sites (fractional):
Zr 0.000 0.000 0.000 (multiplicity 4)
Sn 0.000 0.000 0.500 (multiplicity 4)
F 0.117 0.250 0.125 (multiplicity 8)

=====

(x)
ZrSnF2 | PBE | relaxed

Size of the total moment (μB/f.u.): 0.0

a b c (Å): 3.0055 3.0055 26.3930
angles (deg): 90.00 90.00 120.00
Space group R-3m (No. 166, hexagonal axes)
Symmetry-distinct sites (fractional):
Zr 0.0000 0.0000 0.0000 (multiplicity 3)
Sn 0.0000 0.0000 0.5000 (multiplicity 3)
F 0.0000 0.0000 0.3908 (multiplicity 6)

=====

(y)
ZrSnF2 | PBE | relaxed

Size of the total moment (μB/f.u.): 0.0

a b c (Å): 6.362 6.362 6.362
angles (deg): 90.00 90.00 90.00
Space group Fm-3m (No. 225)
Symmetry-distinct sites (fractional):
Zr 0.000 0.000 0.000 (multiplicity 4)
Sn 0.000 0.000 0.500 (multiplicity 4)
F 0.250 0.250 0.250 (multiplicity 8)

=====

The computed energies, referenced to the most stable structure and given in eV/atom, are (w) 0.021; (x) 0.000; (y) 0.652.